Record 1
# PBE PmSmAlTl, optimized geometry
data_PmSmAlTl
_symmetry_space_group_name_H-M 'P 4 m m'
_symmetry_Int_Tables_number 99
_cell_length_a 3.740
_cell_length_b 3.740
_cell_length_c 7.783
_cell_angle_alpha 90.00
_cell_angle_beta 90.00
_cell_angle_gamma 90.00
loop_
_symmetry_equiv_pos_as_xyz
'x,y,z'
'-y,x,z'
'-x,-y,z'
'y,-x,z'
'-x,y,z'
'y,x,z'
'x,-y,z'
'-y,-x,z'
loop_
_atom_site_label
_atom_site_fract_x
_atom_site_fract_y
_atom_site_fract_z
_atom_site_occupancy
Pm1 0.000 0.000 0.000 1
Sm1 0.000 0.000 0.473 1
Al1 0.500 0.500 0.238 1
Tl1 0.500 0.500 0.734 1
# **Energy of formation from the pure elements**: -0.369 eV per atom

---

Record 2
# PBE Pm3Sm3Al2Tl, optimized geometry
data_Pm3Sm3Al2Tl
_symmetry_space_group_name_H-M 'P -6 2 m'
_symmetry_Int_Tables_number 189
_symmetry_space_group_name_Hall 'P -6 -2'
_cell_length_a 8.9862
_cell_length_b 8.9862
_cell_length_c 3.7697
_cell_angle_alpha 90.00
_cell_angle_beta 90.00
_cell_angle_gamma 120.00
loop_
_atom_site_label
_atom_site_fract_x
_atom_site_fract_y
_atom_site_fract_z
_atom_site_occupancy
Pm1 0.0000 0.3870 0.0000 1
Sm1 0.0000 0.7076 0.5000 1
Al1 0.3333 0.6667 0.5000 1
Tl1 0.0000 0.0000 0.0000 1
# **Energy of formation from the pure elements**: -0.226 eV per atom

---

Record 3
# PBE Pm2SmAl2Zn2, optimized geometry
data_Pm2SmAl2Zn2
_symmetry_space_group_name_H-M 'R -3 m'
_symmetry_Int_Tables_number 166
_symmetry_space_group_name_Hall '-R 3 2"'
_cell_length_a 4.5578
_cell_length_b 4.5578
_cell_length_c 27.9904
_cell_angle_alpha 90.00
_cell_angle_beta 90.00
_cell_angle_gamma 120.00
loop_
_atom_site_label
_atom_site_fract_x
_atom_site_fract_y
_atom_site_fract_z
_atom_site_occupancy
Pm1 0.0000 0.0000 0.1278 1
Sm1 0.0000 0.0000 0.0000 1
Al1 0.0000 0.0000 0.2652 1
Zn1 0.0000 0.0000 0.3984 1
# **Energy of formation from the pure elements**: -0.313 eV per atom

---

Record 4
# PBE PmSm2Al2Zn2, optimized geometry
data_PmSm2Al2Zn2
_symmetry_space_group_name_H-M 'R -3 m'
_symmetry_Int_Tables_number 166
_symmetry_space_group_name_Hall '-R 3 2"'
_cell_length_a 4.5583
_cell_length_b 4.5583
_cell_length_c 27.9742
_cell_angle_alpha 90.00
_cell_angle_beta 90.00
_cell_angle_gamma 120.00
loop_
_atom_site_label
_atom_site_fract_x
_atom_site_fract_y
_atom_site_fract_z
_atom_site_occupancy
Pm1 0.0000 0.0000 0.0000 1
Sm1 0.0000 0.0000 0.1281 1
Al1 0.0000 0.0000 0.2638 1
Zn1 0.0000 0.0000 0.4004 1
# **Energy of formation from the pure elements**: -0.312 eV per atom

---

Record 5
# PBE Pm6AlSn12, optimized geometry
data_Pm6AlSn12
_symmetry_space_group_name_H-M 'R -3'
_symmetry_Int_Tables_number 148
_symmetry_space_group_name_Hall '-R 3'
_cell_length_a 12.8261
_cell_length_b 12.8261
_cell_length_c 13.2325
_cell_angle_alpha 90.00
_cell_angle_beta 90.00
_cell_angle_gamma 120.00
loop_
_atom_site_label
_atom_site_fract_x
_atom_site_fract_y
_atom_site_fract_z
_atom_site_occupancy
Pm1 0.0389 0.8250 0.2000 1
Al1 0.0000 0.0000 0.5000 1
Sn1 0.0270 0.8040 0.4408 1
Sn2 0.0427 0.8190 0.9472 1
# **Energy of formation from the pure elements**: -0.211 eV per atom

---

Record 6
# PBE Pm4AlSn2, optimized geometry
data_Pm4AlSn2
_symmetry_space_group_name_H-M 'R -3 m'
_symmetry_Int_Tables_number 166
_symmetry_space_group_name_Hall '-R 3 2"'
_cell_length_a 5.0257
_cell_length_b 5.0257
_cell_length_c 31.4477
_cell_angle_alpha 90.00
_cell_angle_beta 90.00
_cell_angle_gamma 120.00
loop_
_atom_site_label
_atom_site_fract_x
_atom_site_fract_y
_atom_site_fract_z
_atom_site_occupancy
Pm1 0.0000 0.0000 0.1238 1
Pm2 0.0000 0.0000 0.2965 1
Al1 0.0000 0.0000 0.5000 1
Sn1 0.0000 0.0000 0.4051 1
# **Energy of formation from the pure elements**: -0.384 eV per atom

---

Record 7
# PBE Pm3AlSn4, optimized geometry
data_Pm3AlSn4
_symmetry_space_group_name_H-M 'R -3 m'
_symmetry_Int_Tables_number 166
_symmetry_space_group_name_Hall '-R 3 2"'
_cell_length_a 4.7858
_cell_length_b 4.7858
_cell_length_c 35.0435
_cell_angle_alpha 90.00
_cell_angle_beta 90.00
_cell_angle_gamma 120.00
loop_
_atom_site_label
_atom_site_fract_x
_atom_site_fract_y
_atom_site_fract_z
_atom_site_occupancy
Pm1 0.0000 0.0000 0.0000 1
Pm2 0.0000 0.0000 0.2422 1
Al1 0.0000 0.0000 0.5000 1
Sn1 0.0000 0.0000 0.1420 1
Sn2 0.0000 0.0000 0.3781 1
# **Energy of formation from the pure elements**: -0.436 eV per atom

---

Record 8
# PBE PmAl2Sn2, optimized geometry
data_PmAl2Sn2
_symmetry_space_group_name_H-M 'C m c m'
_symmetry_Int_Tables_number 63
_symmetry_space_group_name_Hall '-C 2c 2'
_cell_length_a 4.670
_cell_length_b 21.791
_cell_length_c 4.581
_cell_angle_alpha 90.00
_cell_angle_beta 90.00
_cell_angle_gamma 90.00
loop_
_atom_site_label
_atom_site_fract_x
_atom_site_fract_y
_atom_site_fract_z
_atom_site_occupancy
Pm1 0.000 0.136 0.250 1
Al1 0.000 0.031 0.750 1
Al2 0.000 0.464 0.750 1
Sn1 0.000 0.250 0.750 1
Sn2 0.000 0.378 0.250 1
# **Energy of formation from the pure elements**: -0.325 eV per atom

---

Record 9
# PBE Pm5AlSn8, optimized geometry
data_Pm5AlSn8
_symmetry_space_group_name_H-M 'I -4'
_symmetry_Int_Tables_number 82
_cell_length_a 9.731
_cell_length_b 9.731
_cell_length_c 8.564
_cell_angle_alpha 90.00
_cell_angle_beta 90.00
_cell_angle_gamma 90.00
loop_
_symmetry_equiv_pos_as_xyz
'x,y,z'
'y,-x,-z'
'-x,-y,z'
'-y,x,-z'
'x+1/2,y+1/2,z+1/2'
'y+1/2,-x+1/2,-z+1/2'
'-x+1/2,-y+1/2,z+1/2'
'-y+1/2,x+1/2,-z+1/2'
loop_
_atom_site_label
_atom_site_fract_x
_atom_site_fract_y
_atom_site_fract_z
_atom_site_occupancy
Pm1 0.000 0.000 0.000 1
Pm2 0.133 0.717 0.348 1
Al1 0.000 0.500 0.750 1
Sn1 0.064 0.855 0.673 1
Sn2 0.077 0.679 0.982 1
# **Energy of formation from the pure elements**: -0.439 eV per atom

---

Record 10
# PBE Pm2AlSn, optimized geometry
data_Pm2AlSn
_symmetry_space_group_name_H-M 'P 1 21/m 1'
_symmetry_Int_Tables_number 11
_cell_length_a 6.220
_cell_length_b 4.277
_cell_length_c 9.008
_cell_angle_alpha 90.00
_cell_angle_beta 108.03
_cell_angle_gamma 90.00
loop_
_symmetry_equiv_pos_as_xyz
'x,y,z'
'-x,-y,-z'
'-x,y+1/2,-z'
'x,-y+1/2,z'
loop_
_atom_site_label
_atom_site_fract_x
_atom_site_fract_y
_atom_site_fract_z
_atom_site_occupancy
Pm1 0.204 0.250 0.427 1
Pm2 0.284 0.750 0.067 1
Al1 0.134 0.250 0.789 1
Sn1 0.368 0.750 0.711 1
# **Energy of formation from the pure elements**: -0.612 eV per atom

---

Record 11
# PBE PmAlSn, optimized geometry
data_PmAlSn
_symmetry_space_group_name_H-M 'P 3 m 1'
_symmetry_Int_Tables_number 156
_cell_length_a 4.5250
_cell_length_b 4.5250
_cell_length_c 4.2812
_cell_angle_alpha 90.00
_cell_angle_beta 90.00
_cell_angle_gamma 120.00
loop_
_symmetry_equiv_pos_as_xyz
'x,y,z'
'-y,x-y,z'
'-x+y,-x,z'
'-y,-x,z'
'-x+y,y,z'
'x,x-y,z'
loop_
_atom_site_label
_atom_site_fract_x
_atom_site_fract_y
_atom_site_fract_z
_atom_site_occupancy
Pm1 0.0000 0.0000 0.0000 1
Al1 0.3333 0.6667 0.4178 1
Sn1 0.6667 0.3333 0.5426 1
# **Energy of formation from the pure elements**: -0.530 eV per atom

---

Record 12
# PBE Pm6AlSn, optimized geometry
data_Pm6AlSn
_symmetry_space_group_name_H-M 'P 4/m m m'
_symmetry_Int_Tables_number 123
_symmetry_space_group_name_Hall '-P 4 2'
_cell_length_a 4.897
_cell_length_b 4.897
_cell_length_c 9.785
_cell_angle_alpha 90.00
_cell_angle_beta 90.00
_cell_angle_gamma 90.00
loop_
_atom_site_label
_atom_site_fract_x
_atom_site_fract_y
_atom_site_fract_z
_atom_site_occupancy
Pm1 0.000 0.000 0.000 1
Pm2 0.000 0.000 0.500 1
Pm3 0.000 0.500 0.246 1
Al1 0.500 0.500 0.000 1
Sn1 0.500 0.500 0.500 1
# **Energy of formation from the pure elements**: -0.316 eV per atom